5
Lattice="-2.0808 4.1171 -0.6226 -3.3956 -1.2750 2.9174 2.5844 1.8856 3.8320" Properties=species:S:1:pos:R:3 comment="FeGeSe2Br, optimized geometry, DFT PBE" total_magnetization_mub_per_atom=0.588 de_polymorph_mev_per_atom=0 total_energy_ev_per_atom=-4.078 formation_energy_uncorrected_ev_per_atom=0.27 pbc="T T T"
Se -1.0404 2.0585 -0.3113
Se -1.6978 -0.6375 1.4587
Br 1.2922 0.9428 1.9160
Fe 0.0000 0.0000 0.0000
Ge -1.4460 2.3639 3.0634